No. 1
# Nb4SnSbN2 | the Open Quantum Materials Database | PBE | optimized geometry
data_Nb4SnSbN2
_cell_length_a 3.3075
_cell_length_b 3.3075
_cell_length_c 13.3816
_cell_angle_alpha 90.00
_cell_angle_beta 90.00
_cell_angle_gamma 120.00
_space_group_name_H-M_alt 'P -6 m 2'
_space_group_IT_number 187
_space_group_name_Hall 'P -6 2'
loop_
_atom_site_label
_atom_site_fract_x
_atom_site_fract_y
_atom_site_fract_z
_atom_site_occupancy
Nb1 0.0000 0.0000 0.1653 1
Nb2 0.3333 0.6667 0.3290 1
Sn1 0.0000 0.0000 0.5000 1
Sb1 0.3333 0.6667 0.0000 1
N1 0.6667 0.3333 0.2473 1
# spin magnetization	0.001	Bohr magnetons per cell
# energy	-69.3	eV per formula unit

No. 2
# Hf3AlN | the Open Quantum Materials Database | PBE | optimized geometry
data_Hf3AlN
_cell_length_a 3.316
_cell_length_b 11.377
_cell_length_c 8.860
_cell_angle_alpha 90.00
_cell_angle_beta 90.00
_cell_angle_gamma 90.00
_space_group_name_H-M_alt 'C m c m'
_space_group_IT_number 63
_space_group_name_Hall '-C 2c 2'
loop_
_atom_site_label
_atom_site_fract_x
_atom_site_fract_y
_atom_site_fract_z
_atom_site_occupancy
Hf1 0.000 0.044 0.250 1
Hf2 0.000 0.372 0.042 1
Al1 0.000 0.252 0.750 1
N1 0.000 0.000 0.000 1
# spin magnetization	0.002	Bohr magnetons per cell
# energy	-46.8	eV per formula unit

No. 3
# PrTlCoS3 | the Open Quantum Materials Database | PBE | optimized geometry
data_PrTlCoS3
_cell_length_a 11.270
_cell_length_b 4.076
_cell_length_c 12.052
_cell_angle_alpha 90.00
_cell_angle_beta 90.00
_cell_angle_gamma 90.00
_space_group_name_H-M_alt 'P n m a'
_space_group_IT_number 62
loop_
_space_group_symop_operation_xyz
'x,y,z'
'-x,-y,-z'
'-x+1/2,-y,z+1/2'
'x+1/2,y,-z+1/2'
'x+1/2,-y+1/2,-z+1/2'
'-x+1/2,y+1/2,z+1/2'
'-x,y+1/2,-z'
'x,-y+1/2,z'
loop_
_atom_site_label
_atom_site_fract_x
_atom_site_fract_y
_atom_site_fract_z
_atom_site_occupancy
Pr1 0.022 0.250 0.168 1
Tl1 0.164 0.250 0.510 1
Co1 0.247 0.250 0.796 1
S1 0.057 0.750 0.329 1
S2 0.117 0.250 0.942 1
S3 0.219 0.750 0.719 1
# spin magnetization	8.988	Bohr magnetons per cell
# energy	-32.5	eV per formula unit